Entry 1:
The following is a DFT calculation (PBE) of a relaxed Y4Si2Cl3 crystal.

- Crystal system: monoclinic
- Magnetization: 0.00 μB per atom
- Energy relative to the elements, uncorrected: -1.392 eV per atom
- ρ: 3.55 g/cm³

Cell: 7.0664 4.0797 16.8091 Å, 90.00 90.04 90.00°
Last column: nearest neighbours and their distance in Å.
Space group C2/m (No. 12)
Inequivalent atoms, fractional coordinates:
Y (0.0006, 0.0000, 0.2977) (multiplicity 4)  3 Cl 2.84, 3 Si 2.86
Y (0.1664, 0.5000, 0.8868) (multiplicity 4)  3 Si 2.78, 3 Cl 3.03
Si (0.1671, 0.5000, 0.2015) (multiplicity 4)  6 Y 2.78-2.86
Cl (0.0000, 0.0000, 0.0000) (multiplicity 2)  6 Y 3.03
Cl (0.1660, 0.5000, 0.6082) (multiplicity 4)  3 Y 2.84


Entry 2:
The following is a DFT calculation (PBE) of a relaxed YSi3Cl crystal.

- Polymorph energy (0 for the lowest one): 58.5 kJ per mole of atoms
- Crystal system: cubic
- Magnetization: 0.00 μB per atom
- Energy relative to the elements, uncorrected: 1.143 eV per atom
- ρ: 2.06 g/cm³

Cell: 5.5188 5.5188 5.5188 Å, 90.00 90.00 90.00°
Last column: nearest neighbours and their distance in Å.
Space group Pm-3m (No. 221)
Inequivalent atoms, fractional coordinates:
Y (0.0000, 0.0000, 0.0000) (multiplicity 1)  6 Si 2.76
Si (0.0000, 0.0000, 0.5000) (multiplicity 3)  2 Y 2.76
Cl (0.5000, 0.5000, 0.5000) (multiplicity 1)  12 Si 3.90


Entry 3:
The following is a DFT calculation (PBE) of a relaxed Y4SiCl5 crystal.

- Crystal system: monoclinic
- Magnetization: 0.00 μB per atom
- Energy relative to the elements, uncorrected: -1.709 eV per atom
- ρ: 3.39 g/cm³

Cell: 17.6040 3.9558 8.1208 Å, 90.00 103.39 90.00°
Last column: nearest neighbours and their distance in Å.
Space group C2/m (No. 12)
Inequivalent atoms, fractional coordinates:
Y (0.0007, 0.0000, 0.2306) (multiplicity 4)  2 Si 2.72, 4 Cl 2.84-2.98
Y (0.1546, 0.5000, 0.0875) (multiplicity 4)  1 Si 2.65, 5 Cl 2.74-2.95
Si (0.0000, 0.5000, 0.0000) (multiplicity 2)  6 Y 2.65-2.72
Cl (0.0000, 0.5000, 0.5000) (multiplicity 2)  4 Y 2.95
Cl (0.1667, 0.0000, 0.3266) (multiplicity 4)  3 Y 2.74-2.84
Cl (0.1736, 0.0000, 0.8533) (multiplicity 4)  4 Y 2.82-2.98